## IrRu (SCAN)

Data for a crystal of IrRu relaxed with PBEsol.

Values from the calculation:
ΔE to the lowest computed polymorph = 20 meV per atom
Energy of formation from the pure elements = -0.054 eV/atom

Cell: 2.6809 2.6809 3.8032 Å, 90.00 90.00 90.00°
Last column: nearest neighbours and their distance in Å.
Space group P4/mmm (No. 123)
Symmetry-distinct sites (fractional):
1 Ir 0.0000 0.0000 0.0000 [1 per cell]  4 Ir 2.68, 8 Ru 2.69
2 Ru 0.5000 0.5000 0.5000 [1 per cell]  4 Ru 2.68, 8 Ir 2.69



## MnSbAu3 (SCAN)

Data for a crystal of MnSbAu3 relaxed with PBEsol.

Values from the calculation:
ΔE_f (raw) = 0.52 eV/atom

Cell: 5.0964 5.0964 5.0964 Å, 90.00 90.00 90.00°
Last column: nearest neighbours and their distance in Å.
Space group Pm-3m (No. 221)
Symmetry-distinct sites (fractional):
1 Mn 0.0000 0.0000 0.0000 [1 per cell]  12 Au 3.60
2 Sb 0.5000 0.5000 0.5000 [1 per cell]  6 Au 2.55
3 Au 0.0000 0.5000 0.5000 [3 per cell]  2 Sb 2.55



## NaAgCl2 (SCAN)

Data for a crystal of NaAgCl2 relaxed with PBEsol.

Values from the calculation:
ΔE to the lowest computed polymorph = 244 meV per atom
ΔE_f (raw) = -0.97 eV/atom

Cell: 4.0912 4.0912 22.9954 Å, 90.00 90.00 120.00°
Last column: nearest neighbours and their distance in Å.
Space group R-3m (No. 166, hexagonal axes)
Symmetry-distinct sites (fractional):
1 Na 0.0000 0.0000 0.0000 [3 per cell]  2 Cl 2.47
2 Ag 0.0000 0.0000 0.5000 [3 per cell]  6 Cl 2.73
3 Cl 0.0000 0.0000 0.1073 [6 per cell]  1 Na 2.47, 3 Ag 2.73



## Hg5Pb (SCAN)

Data for a crystal of Hg5Pb relaxed with PBEsol.

Values from the calculation:
ΔE to the lowest computed polymorph = 13 meV per atom
Energy of formation from the pure elements = 0.047 eV/atom

Cell: 5.5710 5.5710 5.4140 Å, 90.00 90.00 120.00°
Last column: nearest neighbours and their distance in Å.
Space group P-62m (No. 189)
Symmetry-distinct sites (fractional):
1 Hg 0.0000 0.6577 0.0000 [3 per cell]  10 Hg 3.17-3.30, 2 Pb 3.31
2 Hg 0.3333 0.6667 0.5000 [2 per cell]  3 Pb 3.22, 9 Hg 3.22-3.27
3 Pb 0.0000 0.0000 0.5000 [1 per cell]  12 Hg 3.22-3.31



## ScAs2Se (SCAN)

Data for a crystal of ScAs2Se relaxed with PBEsol.

Values from the calculation:
ΔE_f (raw) = -0.23 eV/atom

Cell: 2.8164 2.8164 10.3450 Å, 90.00 90.00 90.00°
Last column: nearest neighbours and their distance in Å.
Space group P4/mmm (No. 123)
Symmetry-distinct sites (fractional):
1 Sc 0.0000 0.0000 0.0000 [1 per cell]  4 Sc 2.82, 8 As 2.87
2 As 0.5000 0.5000 0.2004 [2 per cell]  4 As 2.82, 4 Sc 2.87
3 Se 0.0000 0.0000 0.5000 [1 per cell]  4 Se 2.82



## MnCd2Ru (SCAN)

Data for a crystal of MnCd2Ru relaxed with PBEsol.

Values from the calculation:
ΔE to the lowest computed polymorph = 0 meV per atom
Energy of formation from the pure elements = 0.070 eV/atom

Cell: 3.9530 3.9530 8.2372 Å, 90.00 90.00 90.00°
Last column: nearest neighbours and their distance in Å.
Space group I4/mmm (No. 139)
Symmetry-distinct sites (fractional):
1 Mn 0.0000 0.0000 0.0000 [2 per cell]  4 Ru 2.80, 8 Cd 2.85
2 Cd 0.0000 0.5000 0.2500 [4 per cell]  4 Cd 2.80, 4 Mn 2.85, 4 Ru 2.85
3 Ru 0.0000 0.0000 0.5000 [2 per cell]  4 Mn 2.80, 8 Cd 2.85



Number 1: total moment 0.00 μB/f.u., volume 13.67 Å³ per atom. Number 2: total moment 5.67 μB/f.u., volume 26.47 Å³ per atom. Number 3: total moment 0.00 μB/f.u., volume 27.78 Å³ per atom. Number 4: total moment 0.00 μB/f.u., volume 24.25 Å³ per atom. Number 5: total moment 0.00 μB/f.u., volume 20.51 Å³ per atom. Number 6: total moment 4.63 μB/f.u., volume 16.09 Å³ per atom.